1 | # LaHgMo, PBEsol geometry, DFT meta-GGA SCAN
data_LaHgMo
_chemical_formula_sum 'La4 Hg4 Mo4'
_cell_length_a 6.977
_cell_length_b 6.977
_cell_length_c 6.977
_cell_angle_alpha 90.00
_cell_angle_beta 90.00
_cell_angle_gamma 90.00
_space_group_name_H-M_alt 'F -4 3 m'
_space_group_IT_number 216
_space_group_name_Hall 'F -4 2 3'
loop_
_atom_site_label
_atom_site_fract_x
_atom_site_fract_y
_atom_site_fract_z
_atom_site_occupancy
La1 0.000 0.000 0.000 1
Hg1 0.250 0.250 0.250 1
Mo1 0.250 0.250 0.750 1
# magnetization	3.25	μB per formula unit

=====

2 | # LaHgMo, PBEsol geometry, DFT meta-GGA SCAN
data_LaHgMo
_chemical_formula_sum 'La2 Hg2 Mo2'
_cell_length_a 2.990
_cell_length_b 2.990
_cell_length_c 14.292
_cell_angle_alpha 90.00
_cell_angle_beta 90.00
_cell_angle_gamma 90.00
_space_group_name_H-M_alt 'I 4 m m'
_space_group_IT_number 107
_space_group_name_Hall 'I 4 -2'
loop_
_atom_site_label
_atom_site_fract_x
_atom_site_fract_y
_atom_site_fract_z
_atom_site_occupancy
La1 0.000 0.000 0.000 1
Hg1 0.000 0.000 0.685 1
Mo1 0.000 0.000 0.328 1
# magnetization	0.00	μB per formula unit

=====

Energy ordering: 2 at the bottom, the next structure 53.1 kJ/mol of atoms above.